A plane-wave DFT calculation with PBE with a Hubbard U was carried out for a relaxed FeHO2 crystal.

Output
D(E_F) (states/eV/atom): 0.087
Calculated volume (Å³ per cell): 113
M_tot (μB/f.u.): 1.000
Energy (eV per cell): -69.9

Lattice parameters (Å, degrees): 4.841 4.841 4.841 90.00 90.00 90.00
Space group Fm-3m (No. 225)
Inequivalent atoms, fractional coordinates:
Fe 0.000 0.000 0.000 x4
H 0.000 0.000 0.500 x4
O 0.250 0.250 0.250 x8


A plane-wave DFT calculation with PBE with a Hubbard U was carried out for a relaxed FeHO crystal.

Output
D(E_F) (states/eV/atom): 0.105
Calculated volume (Å³ per cell): 163
M_tot (μB/f.u.): 3.454
Energy (eV per cell): -84.9

Lattice parameters (Å, degrees): 2.6684 2.6684 26.4533 90.00 90.00 120.00
Space group R-3m (No. 166, hexagonal axes)
Inequivalent atoms, fractional coordinates:
Fe 0.0000 0.0000 0.2089 x6
H 0.0000 0.0000 0.3921 x6
O 0.0000 0.0000 0.0681 x6